# 1
Material: SiRuI2N
Method: DFT, PBEsol
State: optimized geometry

Calculated values
**Formation energy from raw total energies**: 76 kJ per mole of atoms
**Space-group type**: P4/mmm (123)
**ρ**: 7.04 Mg/m³
**DOS(E_F)**: 3.06 states/eV per cell

a = 5.3546 Å, b = 5.3546 Å, c = 3.2669 Å
α = 90.00°, β = 90.00°, γ = 90.00°
With the nearest neighbours (Å) after each atom.
Fractional coordinates of all 5 atoms:
Si: 0.0000 0.0000 0.0000  2 N 1.63
Ru: 0.5000 0.5000 0.5000  8 I 3.14, 2 Ru 3.27
I: 0.0000 0.5000 0.0000  2 Si 2.68
I: 0.5000 0.0000 0.0000  2 Si 2.68
N: 0.0000 0.0000 0.5000  2 Si 1.63

---

# 2
Material: Ca3Al2As4
Method: DFT, PBEsol
State: optimized geometry

Calculated values
**DFT formation energy**: -0.952 eV/atom
**Space-group type**: C2/c (15)
**ρ**: 3.69 Mg/m³

a = 8.1889 Å, b = 8.1889 Å, c = 6.5550 Å
α = 91.05°, β = 91.05°, γ = 75.89°
With the nearest neighbours (Å) after each atom.
Fractional coordinates of all 18 atoms:
Ca: 0.0988 0.9012 0.7500  6 As 2.87-3.09
Ca: 0.2514 0.5055 0.0258  4 As 2.89-3.04
Ca: 0.4945 0.7486 0.4742  4 As 2.89-3.04
Ca: 0.5055 0.2514 0.5258  4 As 2.89-3.04
Ca: 0.7486 0.4945 0.9742  4 As 2.89-3.04
Ca: 0.9012 0.0988 0.2500  6 As 2.87-3.09
Al: 0.0793 0.3291 0.5887  4 As 2.44-2.51
Al: 0.3291 0.0793 0.0887  4 As 2.44-2.51
Al: 0.6709 0.9207 0.9113  4 As 2.44-2.51
Al: 0.9207 0.6709 0.4113  4 As 2.44-2.51
As: 0.0641 0.2439 0.9414  2 Al 2.44-2.45
As: 0.2207 0.5601 0.5251  2 Al 2.49-2.51
As: 0.2439 0.0641 0.4414  2 Al 2.44-2.45
As: 0.4399 0.7793 0.9749  2 Al 2.49-2.51
As: 0.5601 0.2207 0.0251  2 Al 2.49-2.51
As: 0.7561 0.9359 0.5586  2 Al 2.44-2.45
As: 0.7793 0.4399 0.4749  2 Al 2.49-2.51
As: 0.9359 0.7561 0.0586  2 Al 2.44-2.45

---

# 3
Material: La2CrCl
Method: DFT, PBEsol
State: optimized geometry

Calculated values
**Formation energy from raw total energies**: -37 kJ per mole of atoms
**Space-group type**: P4/mmm (123)
**ρ**: 6.35 Mg/m³
**DOS(E_F)**: 3.46 states/eV per cell

a = 3.4032 Å, b = 3.4032 Å, c = 8.2446 Å
α = 90.00°, β = 90.00°, γ = 90.00°
With the nearest neighbours (Å) after each atom.
Fractional coordinates of all 4 atoms:
La: 0.0000 0.0000 0.2296  4 Cr 3.06, 4 Cl 3.28, 4 La 3.40
La: 0.0000 0.0000 0.7704  4 Cr 3.06, 4 Cl 3.28, 4 La 3.40
Cr: 0.5000 0.5000 0.0000  8 La 3.06, 4 Cr 3.40
Cl: 0.5000 0.5000 0.5000  8 La 3.28, 4 Cl 3.40

---

# 4
Material: MgZn2Pt2
Method: DFT, PBEsol
State: optimized geometry

Calculated values
**DFT formation energy**: -0.537 eV/atom
**Space-group type**: P4/mbm (127)
**ρ**: 11.75 Mg/m³
**DOS(E_F)**: 2.53 states/eV per cell

a = 7.3033 Å, b = 7.3033 Å, c = 2.8905 Å
α = 90.00°, β = 90.00°, γ = 90.00°
With the nearest neighbours (Å) after each atom.
Fractional coordinates of all 10 atoms:
Mg: 0.0000 0.0000 0.0000  4 Pt 2.78, 2 Mg 2.89
Mg: 0.5000 0.5000 0.0000  4 Pt 2.78, 2 Mg 2.89
Zn: 0.1483 0.3517 0.5000  6 Pt 2.54-2.61
Zn: 0.3517 0.8517 0.5000  6 Pt 2.54-2.61
Zn: 0.6483 0.1483 0.5000  6 Pt 2.54-2.61
Zn: 0.8517 0.6483 0.5000  6 Pt 2.54-2.61
Pt: 0.1493 0.6493 0.0000  6 Zn 2.54-2.61, 2 Mg 2.78
Pt: 0.3507 0.1493 0.0000  6 Zn 2.54-2.61, 2 Mg 2.78
Pt: 0.6493 0.8507 0.0000  6 Zn 2.54-2.61, 2 Mg 2.78
Pt: 0.8507 0.3507 0.0000  6 Zn 2.54-2.61, 2 Mg 2.78

---

# 5
Material: ZrAg2Pb
Method: DFT, PBEsol
State: optimized geometry

Calculated values
**DFT formation energy**: -0.080 eV/atom
**Space-group type**: P4/mmm (123)
**ρ**: 10.70 Mg/m³
**DOS(E_F)**: 2.10 states/eV per cell

a = 4.1813 Å, b = 4.1813 Å, c = 4.5622 Å
α = 90.00°, β = 90.00°, γ = 90.00°
With the nearest neighbours (Å) after each atom.
Fractional coordinates of all 4 atoms:
Zr: 0.0000 0.0000 0.0000  4 Pb 2.96, 8 Ag 3.09
Ag: 0.0000 0.5000 0.5000  4 Ag 2.96, 4 Pb 3.09, 4 Zr 3.09
Ag: 0.5000 0.0000 0.5000  4 Ag 2.96, 4 Pb 3.09, 4 Zr 3.09
Pb: 0.5000 0.5000 0.0000  4 Zr 2.96, 8 Ag 3.09

---

# 6
Material: MgTaRu2
Method: DFT, PBEsol
State: optimized geometry

Calculated values
**DFT formation energy**: 0.126 eV/atom
**Space-group type**: P4mm (99)
**ρ**: 10.75 Mg/m³
**DOS(E_F)**: 3.10 states/eV per cell

a = 2.7657 Å, b = 2.7657 Å, c = 8.2269 Å
α = 90.00°, β = 90.00°, γ = 90.00°
With the nearest neighbours (Å) after each atom.
Fractional coordinates of all 4 atoms:
Mg: 0.0000 0.0000 0.0000  4 Mg 2.77, 4 Ru 2.81
Ta: 0.5000 0.5000 0.7026  4 Ta 2.77, 4 Ru 2.89
Ru: 0.0000 0.0000 0.4432  8 Ru 2.55-2.77
Ru: 0.5000 0.5000 0.2450  8 Ru 2.55-2.77, 4 Mg 2.81